Computed, not measured: LiGeTe2 at its PBEsol-relaxed geometry at the meta-GGA SCAN level of DFT. Values from VASP.

Structure (Quantum ESPRESSO input):
```
&SYSTEM
  ibrav = 0, nat = 24, ntyp = 3
/
ATOMIC_SPECIES
Li 6.94 Li.upf
Ge 72.64 Ge.upf
Te 127.60 Te.upf
CELL_PARAMETERS angstrom
7.119 0.000 0.000
2.930 8.520 0.000
2.447 1.978 10.783
ATOMIC_POSITIONS crystal
Li 0.000 0.000 0.000
Li 0.012 0.349 0.688
Li 0.472 0.321 0.178
Li 0.500 0.000 0.500
Li 0.528 0.679 0.822
Li 0.988 0.651 0.312
Ge 0.039 0.038 0.293
Ge 0.049 0.740 0.596
Ge 0.068 0.611 0.950
Ge 0.932 0.389 0.050
Ge 0.951 0.260 0.404
Ge 0.961 0.962 0.707
Te 0.251 0.337 0.429
Te 0.256 0.149 0.091
Te 0.264 0.013 0.754
Te 0.273 0.670 0.083
Te 0.281 0.516 0.742
Te 0.310 0.799 0.399
Te 0.690 0.201 0.601
Te 0.719 0.484 0.258
Te 0.727 0.330 0.917
Te 0.736 0.987 0.246
Te 0.744 0.851 0.909
Te 0.749 0.663 0.571
```

## Properties
The total energy is -24.444 eV/atom.